# PBE+U ScPaCo2O8, optimized geometry
# * uncorrected energy: -7.464 eV per atom
# * total moment: 12.0 Bohr magnetons per cell
data_ScPaCo2O8
_chemical_formula_sum 'Sc2 Pa2 Co4 O16'
_cell_length_a 6.900
_cell_length_b 6.900
_cell_length_c 6.461
_cell_angle_alpha 90.00
_cell_angle_beta 90.00
_cell_angle_gamma 90.00
_space_group_name_H-M_alt 'I -4 m 2'
_space_group_IT_number 119
_space_group_name_Hall 'I -4 -2'
loop_
_atom_site_label
_atom_site_type_symbol
_atom_site_fract_x
_atom_site_fract_y
_atom_site_fract_z
Sc1 Sc 0.000 0.000 0.000
Pa1 Pa 0.000 0.500 0.250
Co1 Co 0.000 0.000 0.500
Co2 Co 0.000 0.500 0.750
O1 O 0.000 0.186 0.292
O2 O 0.000 0.320 0.934